Record 1
A geometry-optimized CsMnRuSe2 structure. Source: Alexandria via LeMat-Bulk, functional PBE.

abc: 6.0223 6.0223 5.0818
angles: 90.00 90.00 90.00
Sites, in units of the cell vectors:
Cs  0.0000  0.0000  0.0000
Mn  0.5000  0.5000  0.5000
Ru  0.0000  0.0000  0.5000
Se  0.0000  0.5000  0.0000
Se  0.5000  0.0000  0.0000

As for the total magnetization: 1.4885 μB per atom. The total DFT energy (no corrections) comes out at -16.4 eV for the cell shown. For the density of states at the Fermi level, the calculation gives 9.3 states/eV/f.u.

Record 2
A geometry-optimized Cs5DyO4 structure. Source: Alexandria via LeMat-Bulk, functional PBE.

abc: 9.8773 9.8773 8.0447
angles: 101.56 101.56 22.14
Sites, in units of the cell vectors:
Cs  0.0000  0.0000  0.0000
Cs  0.3504  0.3504  0.6594
Cs  0.3520  0.3520  0.1961
Cs  0.6480  0.6480  0.8039
Cs  0.6496  0.6496  0.3406
Dy  0.0000  0.0000  0.5000
O  0.1212  0.1212  0.5589
O  0.4994  0.4994  0.3066
O  0.5006  0.5006  0.6934
O  0.8788  0.8788  0.4411

As for the total magnetization: 0.0087 μB per atom. The value obtained for the polymorph energy (0 for the lowest one) is 52.4 meV/atom. The total DFT energy (no corrections) comes out at -44.5 eV for the cell shown.

Record 3
A geometry-optimized BeBRh3 structure. Source: Alexandria via LeMat-Bulk, functional PBE.

abc: 4.0173 4.0173 4.0173
angles: 90.00 90.00 90.00
Sites, in units of the cell vectors:
Be  0.0000  0.0000  0.0000
B  0.5000  0.5000  0.5000
Rh  0.0000  0.5000  0.5000
Rh  0.5000  0.0000  0.5000
Rh  0.5000  0.5000  0.0000

As for the total magnetization: 0.0000 μB per atom. The calculation puts the formation energy at -0.0491 eV per atom. The value obtained for the polymorph energy (0 for the lowest one) is 230.0 meV/atom. The total DFT energy (no corrections) comes out at -32.7 eV for the cell shown. For the density of states at the Fermi level, the calculation gives 2.9 states/eV/f.u.

Record 4
A geometry-optimized AgBiAu14 structure. Source: Alexandria via LeMat-Bulk, functional PBE.

abc: 6.0781 6.0781 8.1274
angles: 90.00 90.00 90.00
Sites, in units of the cell vectors:
Ag  0.0000  0.0000  0.0000
Bi  0.5000  0.5000  0.0000
Au  0.0000  0.0000  0.5000
Au  0.0000  0.5000  0.0000
Au  0.0000  0.5000  0.5000
Au  0.2442  0.2442  0.2568
Au  0.2442  0.2442  0.7432
Au  0.2442  0.7558  0.2568
Au  0.2442  0.7558  0.7432
Au  0.5000  0.0000  0.0000
Au  0.5000  0.0000  0.5000
Au  0.5000  0.5000  0.5000
Au  0.7558  0.2442  0.2568
Au  0.7558  0.2442  0.7432
Au  0.7558  0.7558  0.2568
Au  0.7558  0.7558  0.7432

As for the total magnetization: 0.0000 μB per atom. The calculation puts the formation energy at 0.0241 eV per atom. The total DFT energy (no corrections) comes out at -52.2 eV for the cell shown. For the density of states at the Fermi level, the calculation gives 4.7 states/eV/f.u.

Record 5
A geometry-optimized LiCd3In2Hg6 structure. Source: Alexandria via LeMat-Bulk, functional PBE.

abc: 6.0327 6.0327 9.4035
angles: 96.39 96.39 118.89
Sites, in units of the cell vectors:
Li  0.0000  0.0000  0.0000
Cd  0.1875  0.8125  0.5000
Cd  0.5000  0.5000  0.5000
Cd  0.8125  0.1875  0.5000
In  0.3403  0.6597  0.0000
In  0.6597  0.3403  0.0000
Hg  0.0727  0.3850  0.2412
Hg  0.2252  0.2252  0.7387
Hg  0.3850  0.0727  0.2412
Hg  0.6150  0.9273  0.7588
Hg  0.7748  0.7748  0.2613
Hg  0.9273  0.6150  0.7588

As for the total magnetization: 0.0000 μB per atom. The calculation puts the formation energy at -0.0451 eV per atom. The total DFT energy (no corrections) comes out at -12.5 eV for the cell shown. For the density of states at the Fermi level, the calculation gives 5.3 states/eV/f.u.

Record 6
A geometry-optimized LaDy2Ir structure. Source: Alexandria via LeMat-Bulk, functional PBE.

abc: 7.3048 9.5039 6.5249
angles: 90.00 90.00 90.00
Sites, in units of the cell vectors:
La  0.0403  0.2500  0.1363
La  0.4597  0.7500  0.6363
La  0.5403  0.2500  0.3637
La  0.9597  0.7500  0.8637
Dy  0.1735  0.0660  0.6682
Dy  0.1735  0.4340  0.6682
Dy  0.3265  0.5660  0.1682
Dy  0.3265  0.9340  0.1682
Dy  0.6735  0.0660  0.8318
Dy  0.6735  0.4340  0.8318
Dy  0.8265  0.5660  0.3318
Dy  0.8265  0.9340  0.3318
Ir  0.1209  0.7500  0.4349
Ir  0.3791  0.2500  0.9349
Ir  0.6209  0.7500  0.0651
Ir  0.8791  0.2500  0.5651

As for the total magnetization: 0.0000 μB per atom. The calculation puts the formation energy at -0.5487 eV per atom. The value obtained for the polymorph energy (0 for the lowest one) is 0.0 meV/atom. The total DFT energy (no corrections) comes out at -100.7 eV for the cell shown. For the density of states at the Fermi level, the calculation gives 4.4 states/eV/f.u.

Record 7
A geometry-optimized AlP2Au structure. Source: Alexandria via LeMat-Bulk, functional PBE.

abc: 5.5181 5.5181 11.1929
angles: 90.00 90.00 90.00
Sites, in units of the cell vectors:
Al  0.0000  0.0000  0.0000
Al  0.0000  0.5000  0.2500
Al  0.5000  0.0000  0.7500
Al  0.5000  0.5000  0.5000
P  0.2436  0.2500  0.1250
P  0.2500  0.7436  0.3750
P  0.2500  0.7564  0.8750
P  0.2564  0.2500  0.6250
P  0.7436  0.7500  0.6250
P  0.7500  0.2436  0.8750
P  0.7500  0.2564  0.3750
P  0.7564  0.7500  0.1250
Au  0.0000  0.0000  0.5000
Au  0.0000  0.5000  0.7500
Au  0.5000  0.0000  0.2500
Au  0.5000  0.5000  0.0000

As for the total magnetization: 0.0000 μB per atom. The calculation puts the formation energy at -0.0789 eV per atom. The total DFT energy (no corrections) comes out at -72.6 eV for the cell shown. For the density of states at the Fermi level, the calculation gives 1.9 states/eV/f.u.